# 1
EuPb | Alexandria via LeMat-Bulk | SCAN | single point on PBEsol structure; uncorrected energy = -130.98 eV for the cell shown; symmetry = Pm-3m
1.0
3.911 0.000 0.000
0.000 3.911 0.000
0.000 0.000 3.911
Eu Pb
1 1
Direct
0.000 0.000 0.000
0.500 0.500 0.500

# 2
AlMoP2Cl | Alexandria via LeMat-Bulk | SCAN | single point on PBEsol structure; symmetry = P4/mmm; energy relative to the elements, uncorrected = 644 meV/atom
1.0
4.623 0.000 0.000
0.000 4.623 0.000
0.000 0.000 4.453
Al Mo P Cl
1 1 2 1
Direct
0.000 0.000 0.000
0.500 0.500 0.500
0.000 0.500 0.000
0.500 0.000 0.000
0.000 0.000 0.500